# ZnAg2P2O7

A relaxed ZnAg2P2O7 crystal (PBE, Alexandria via LeMat-Bulk).

Lattice parameters (Å, degrees): 7.9043 7.9043 10.5995 90.00 90.00 90.00
Closest atoms and distances in Å follow each position.
Atoms (fractional coordinates):
Zn1 0.0000 0.5000 0.2500  4 O 1.97
Zn2 0.0000 0.5000 0.7500  4 O 1.97
Zn3 0.5000 0.0000 0.2500  4 O 1.97
Zn4 0.5000 0.0000 0.7500  4 O 1.97
Ag1 0.1390 0.1390 0.0000  8 O 2.66-2.77
Ag2 0.2005 0.2005 0.5000  2 O 2.40
Ag3 0.2995 0.7005 0.0000  2 O 2.40
Ag4 0.3610 0.6390 0.5000  8 O 2.66-2.77
Ag5 0.6390 0.3610 0.5000  8 O 2.66-2.77
Ag6 0.7005 0.2995 0.0000  2 O 2.40
Ag7 0.7995 0.7995 0.5000  2 O 2.40
Ag8 0.8610 0.8610 0.0000  8 O 2.66-2.77
P1 0.1374 0.8626 0.2886  4 O 1.52-1.64
P2 0.1374 0.8626 0.7114  4 O 1.52-1.64
P3 0.3626 0.3626 0.2114  4 O 1.52-1.64
P4 0.3626 0.3626 0.7886  4 O 1.52-1.64
P5 0.6374 0.6374 0.2114  4 O 1.52-1.64
P6 0.6374 0.6374 0.7886  4 O 1.52-1.64
P7 0.8626 0.1374 0.2886  4 O 1.52-1.64
P8 0.8626 0.1374 0.7114  4 O 1.52-1.64
O1 0.0000 0.0000 0.3423  2 P 1.64
O2 0.0000 0.0000 0.6577  2 P 1.64
O3 0.0797 0.6951 0.3499  1 P 1.54
O4 0.0797 0.6951 0.6501  1 P 1.54
O5 0.1350 0.8650 0.1450  1 P 1.52
O6 0.1350 0.8650 0.8550  1 P 1.52
O7 0.1951 0.4203 0.1501  1 P 1.54
O8 0.1951 0.4203 0.8499  1 P 1.54
O9 0.3049 0.9203 0.3499  1 P 1.54
O10 0.3049 0.9203 0.6501  1 P 1.54
O11 0.3650 0.3650 0.3550  1 P 1.52
O12 0.3650 0.3650 0.6450  1 P 1.52
O13 0.4203 0.1951 0.1501  1 P 1.54
O14 0.4203 0.1951 0.8499  1 P 1.54
O15 0.5000 0.5000 0.1577  2 P 1.64
O16 0.5000 0.5000 0.8423  2 P 1.64
O17 0.5797 0.8049 0.1501  1 P 1.54
O18 0.5797 0.8049 0.8499  1 P 1.54
O19 0.6350 0.6350 0.3550  1 P 1.52
O20 0.6350 0.6350 0.6450  1 P 1.52
O21 0.6951 0.0797 0.3499  1 P 1.54
O22 0.6951 0.0797 0.6501  1 P 1.54
O23 0.8049 0.5797 0.1501  1 P 1.54
O24 0.8049 0.5797 0.8499  1 P 1.54
O25 0.8650 0.1350 0.1450  1 P 1.52
O26 0.8650 0.1350 0.8550  1 P 1.52
O27 0.9203 0.3049 0.3499  1 P 1.54
O28 0.9203 0.3049 0.6501  1 P 1.54

Computed properties:
Total magnetization, μB per formula unit: 0.0
Uncorrected formation energy, eV per atom: -1.57
D(E_F), states/eV/atom: 0.000
SG: P4_2/mnm, No. 136